(1)
Below is crystalline NaLa2HfIn at its relaxed geometry, with properties calculated at the PBE level.

Computed properties:
For the calculated formation energy, the calculation gives 398 meV/atom. Its space group is P4/mmm, No. 123.

Cell: 5.7497 5.7014 5.7497 Å, 90.00 90.00 90.00°
Positions (direct):
In 0.0000 0.5000 0.0000
Hf 0.0000 0.0000 0.0000
La 0.0000 0.0000 0.5000
La 0.5000 0.0000 0.0000
Na 0.5000 0.5000 0.5000


(2)
Below is crystalline Na4Sc3CrSe8 at its relaxed geometry, with properties calculated at the PBE level.

Computed properties:
Its space group is R-3m, No. 166. Its uncorrected formation energy is -21.99 eV/f.u.

Cell: 7.7892 8.2853 7.7891 Å, 118.07 120.00 90.00°
Site moments in Bohr magnetons follow the coordinates.
Positions (direct):
Cr 0.0000 0.5000 0.0000  2.98
Se 0.7684 0.2871 0.5367  -0.03
Se 0.2502 0.2872 0.0186  -0.03
Se 0.7684 0.2872 0.0186  -0.03
Se 0.2316 0.7128 0.9814  -0.03
Se 0.7399 0.7195 0.4797  0.00
Se 0.2601 0.2805 0.5203  0.00
Se 0.2316 0.7129 0.4633  -0.03
Se 0.7498 0.7128 0.9814  -0.03
Na 0.0000 0.0000 0.5000  0.00
Na 0.5000 0.0000 0.5000  0.00
Na 0.0000 0.0000 0.0000  0.00
Na 0.5000 0.0000 0.0000  0.00
Sc 0.5000 0.5000 0.0000  0.01
Sc 0.5000 0.5000 0.5000  0.01
Sc 0.0000 0.5000 0.5000  0.01


(3)
Below is crystalline K2Pb2Cl7 at its relaxed geometry, with properties calculated at the PBE level.

Computed properties:
Its space group is Cmmm, No. 65. Its uncorrected formation energy is -14.07 eV/f.u.

Cell: 6.9732 7.4014 6.9732 Å, 89.99 96.93 90.01°
Positions (direct):
Cl 0.0002 0.7554 0.4997
Cl 0.4998 0.2282 0.5002
Cl 0.0000 0.0000 0.0000
Cl 0.9998 0.2446 0.5003
Cl 0.5002 0.7718 0.4998
Cl 0.4997 0.2446 0.0002
Cl 0.5003 0.7554 0.9998
Pb 0.7242 0.0000 0.2758
Pb 0.2758 0.0000 0.7242
K 0.7536 0.5000 0.7536
K 0.2464 0.5000 0.2464